No. 1
## La3CeTm2P6 (PBE-GGA)

Data for a geometry-optimized La3CeTm2P6 structure.

Values from the calculation:
The space group is C2/m, No. 12. The value obtained for the density of states at the Fermi level is 0.457 states/eV/atom. As for the final energy: -6.737 eV/atom. The formation energy is -1.561 eV per atom.

Unit cell a=7.146 b=7.146 c=7.173 alpha=99.56 beta=99.56 gamma=119.99
Fractional coordinates of all 12 atoms:
La 0.000 0.000 0.000
La 0.333 0.667 0.000
La 0.667 0.333 0.000
Ce 0.500 0.500 0.500
Tm 0.167 0.833 0.500
Tm 0.833 0.167 0.500
P 0.087 0.422 0.267
P 0.243 0.243 0.733
P 0.422 0.087 0.267
P 0.578 0.913 0.733
P 0.757 0.757 0.267
P 0.913 0.578 0.733

No. 2
## Mg2RePRu (PBE-GGA)

Data for a geometry-optimized Mg2RePRu structure.

Values from the calculation:
The space group is P4/mmm, No. 123. The value obtained for the density of states at the Fermi level is 0.801 states/eV/atom. As for the final energy: -4.766 eV/atom. The formation energy is 1.299 eV per atom.

Unit cell a=5.026 b=5.026 c=4.585 alpha=90.00 beta=90.00 gamma=90.00
Fractional coordinates of all 5 atoms:
Mg 0.000 0.500 0.000
Mg 0.500 0.000 0.000
Re 0.000 0.000 0.000
P 0.500 0.500 0.500
Ru 0.000 0.000 0.500